This record from Alexandria describes an optimized crystal structure of Cs2NbWO6. The functional is PBE with a Hubbard U.

Geometry as CIF:
```
data_Cs2NbWO6
_chemical_formula_sum 'Cs4 Nb2 W2 O12'
_space_group_name_H-M_alt 'I 4 m m'
_space_group_IT_number 107
_space_group_name_Hall 'I 4 -2'
_cell_length_a 5.487
_cell_length_b 5.487
_cell_length_c 12.490
_cell_angle_alpha 90.00
_cell_angle_beta 90.00
_cell_angle_gamma 90.00
loop_
_atom_site_label
_atom_site_fract_x
_atom_site_fract_y
_atom_site_fract_z
Cs1 0.000 0.500 0.000
Nb1 0.000 0.000 0.238
W1 0.000 0.000 0.743
O1 0.000 0.000 0.383
O2 0.000 0.000 0.887
O3 0.249 0.249 0.697
```

Results
- Total magnetization: 2.00 Bohr magnetons per cell
- Raw total energy: -7.01 eV per atom